Here is a geometry-optimized Ba4Nd4Ti3MnCu4O22 structure from the Alexandria database. Energies are from PBE with a Hubbard U.

abc: 5.5537 5.5537 16.0263
angles: 90.00 90.00 90.00
Closest atoms and distances in Å follow each position.
Sites, in units of the cell vectors:
Ba  0.0000  0.5000  0.0000  12 O 2.80-3.11
Ba  0.0000  0.5000  0.4702  8 O 2.81-2.96
Ba  0.5000  0.0000  0.0000  12 O 2.80-3.11
Ba  0.5000  0.0000  0.4702  8 O 2.81-2.96
Nd  0.0000  0.5000  0.2356  8 O 2.48-2.50
Nd  0.0000  0.5000  0.7388  12 O 2.65-2.78
Nd  0.5000  0.0000  0.2356  8 O 2.48-2.50
Nd  0.5000  0.0000  0.7388  12 O 2.65-2.78
Ti  0.0000  0.0000  0.6122  6 O 1.86-2.03
Ti  0.0000  0.0000  0.8631  6 O 1.85-2.00
Ti  0.5000  0.5000  0.6124  6 O 1.85-2.04
Mn  0.5000  0.5000  0.8602  6 O 1.87-1.95
Cu  0.0000  0.0000  0.1290  4 O 1.97
Cu  0.0000  0.0000  0.3424  4 O 1.97
Cu  0.5000  0.5000  0.1284  4 O 1.97
Cu  0.5000  0.5000  0.3420  4 O 1.97
O  0.0000  0.0000  0.4962  1 Ti 1.86
O  0.0000  0.0000  0.7388  2 Ti 1.99-2.03
O  0.0000  0.0000  0.9786  1 Ti 1.85
O  0.2502  0.2502  0.1408  2 Cu 1.97
O  0.2502  0.2502  0.3323  2 Cu 1.97
O  0.2500  0.2500  0.6260  2 Ti 1.98
O  0.2502  0.7498  0.1408  2 Cu 1.97
O  0.2502  0.7498  0.3323  2 Cu 1.97
O  0.2500  0.7500  0.6260  2 Ti 1.98
O  0.2526  0.2526  0.8498  1 Mn 1.95, 1 Ti 2.00
O  0.2526  0.7474  0.8498  1 Mn 1.95, 1 Ti 2.00
O  0.5000  0.5000  0.4969  1 Ti 1.85
O  0.5000  0.5000  0.7397  1 Mn 1.93, 1 Ti 2.04
O  0.5000  0.5000  0.9771  1 Mn 1.87
O  0.7474  0.2526  0.8498  1 Mn 1.95, 1 Ti 2.00
O  0.7474  0.7474  0.8498  1 Mn 1.95, 1 Ti 2.00
O  0.7498  0.2502  0.1408  2 Cu 1.97
O  0.7498  0.2502  0.3323  2 Cu 1.97
O  0.7500  0.2500  0.6260  2 Ti 1.98
O  0.7498  0.7498  0.1408  2 Cu 1.97
O  0.7498  0.7498  0.3323  2 Cu 1.97
O  0.7500  0.7500  0.6260  2 Ti 1.98

Density, g cm⁻³: 6.487
DOS at the Fermi energy, states/eV per cell: 4.06
E_tot, eV/atom: -7.308